Computed, not measured: BaSiSeN2 after structural relaxation at the GGA-PBEsol level of DFT.

Geometry as CIF:
```
data_BaSiSeN2
_cell_length_a 4.347
_cell_length_b 4.347
_cell_length_c 6.424
_cell_angle_alpha 90.00
_cell_angle_beta 90.00
_cell_angle_gamma 90.00
_space_group_name_H-M_alt 'P 4/m m m'
_space_group_IT_number 123
_space_group_name_Hall '-P 4 2'
loop_
_atom_site_label
_atom_site_type_symbol
_atom_site_fract_x
_atom_site_fract_y
_atom_site_fract_z
Ba1 Ba 0.000 0.000 0.000
Si1 Si 0.500 0.500 0.500
Se1 Se 0.000 0.000 0.500
N1 N 0.000 0.500 0.000
```

Properties
DOS(E_F)	0.66	states/eV per atom
formation energy (no corrections)	1767	meV/atom
total magnetic moment	1.81	Bohr magnetons per cell

---

Computed, not measured: BaSrSeN2 after structural relaxation at the GGA-PBEsol level of DFT.

Geometry as CIF:
```
data_BaSrSeN2
_cell_length_a 4.643
_cell_length_b 4.643
_cell_length_c 6.330
_cell_angle_alpha 90.00
_cell_angle_beta 90.00
_cell_angle_gamma 90.00
_space_group_name_H-M_alt 'P 4/m m m'
_space_group_IT_number 123
_space_group_name_Hall '-P 4 2'
loop_
_atom_site_label
_atom_site_type_symbol
_atom_site_fract_x
_atom_site_fract_y
_atom_site_fract_z
Ba1 Ba 0.000 0.000 0.000
Sr1 Sr 0.500 0.500 0.500
Se1 Se 0.000 0.000 0.500
N1 N 0.000 0.500 0.000
```

Properties
DOS(E_F)	0.95	states/eV per atom
formation energy (no corrections)	529	meV/atom
total magnetic moment	2.43	Bohr magnetons per cell

---

Computed, not measured: BaTaSe2N after structural relaxation at the GGA-PBEsol level of DFT.

Geometry as CIF:
```
data_BaTaSe2N
_cell_length_a 5.724
_cell_length_b 5.724
_cell_length_c 4.238
_cell_angle_alpha 90.00
_cell_angle_beta 90.00
_cell_angle_gamma 90.00
_space_group_name_H-M_alt 'P 4/m m m'
_space_group_IT_number 123
_space_group_name_Hall '-P 4 2'
loop_
_atom_site_label
_atom_site_type_symbol
_atom_site_fract_x
_atom_site_fract_y
_atom_site_fract_z
Ba1 Ba 0.000 0.000 0.000
Ta1 Ta 0.500 0.500 0.500
Se1 Se 0.000 0.500 0.000
N1 N 0.000 0.000 0.500
```

Properties
DOS(E_F)	1.16	states/eV per atom
formation energy (no corrections)	1706	meV/atom
total magnetic moment	1.34	Bohr magnetons per cell

---

Computed, not measured: BaTeSe2N after structural relaxation at the GGA-PBEsol level of DFT.

Geometry as CIF:
```
data_BaTeSe2N
_cell_length_a 5.952
_cell_length_b 5.952
_cell_length_c 4.425
_cell_angle_alpha 90.00
_cell_angle_beta 90.00
_cell_angle_gamma 90.00
_space_group_name_H-M_alt 'P 4/m m m'
_space_group_IT_number 123
_space_group_name_Hall '-P 4 2'
loop_
_atom_site_label
_atom_site_type_symbol
_atom_site_fract_x
_atom_site_fract_y
_atom_site_fract_z
Ba1 Ba 0.000 0.000 0.000
Te1 Te 0.500 0.500 0.500
Se1 Se 0.000 0.500 0.000
N1 N 0.000 0.000 0.500
```

Properties
DOS(E_F)	1.23	states/eV per atom
formation energy (no corrections)	1069	meV/atom
total magnetic moment	1.65	Bohr magnetons per cell

---

Computed, not measured: BaWSe2N after structural relaxation at the GGA-PBEsol level of DFT.

Geometry as CIF:
```
data_BaWSe2N
_cell_length_a 5.809
_cell_length_b 5.809
_cell_length_c 4.340
_cell_angle_alpha 90.00
_cell_angle_beta 90.00
_cell_angle_gamma 90.00
_space_group_name_H-M_alt 'P 4/m m m'
_space_group_IT_number 123
_space_group_name_Hall '-P 4 2'
loop_
_atom_site_label
_atom_site_type_symbol
_atom_site_fract_x
_atom_site_fract_y
_atom_site_fract_z
Ba1 Ba 0.000 0.000 0.000
W1 W 0.500 0.500 0.500
Se1 Se 0.000 0.500 0.000
N1 N 0.000 0.000 0.500
```

Properties
DOS(E_F)	1.25	states/eV per atom
formation energy (no corrections)	2092	meV/atom
total magnetic moment	4.04	Bohr magnetons per cell

---

Computed, not measured: Ba2SrN2 after structural relaxation at the GGA-PBEsol level of DFT.

Geometry as CIF:
```
data_Ba2SrN2
_cell_length_a 3.8559
_cell_length_b 3.8559
_cell_length_c 10.1530
_cell_angle_alpha 90.00
_cell_angle_beta 90.00
_cell_angle_gamma 120.00
_space_group_name_H-M_alt 'P -3 m 1'
_space_group_IT_number 164
_space_group_name_Hall '-P 3 2"'
loop_
_atom_site_label
_atom_site_type_symbol
_atom_site_fract_x
_atom_site_fract_y
_atom_site_fract_z
Ba1 Ba 0.3333 0.6667 0.2931
Sr1 Sr 0.0000 0.0000 0.0000
N1 N 0.3333 0.6667 0.8355
```

Properties
DOS(E_F)	1.20	states/eV per atom
formation energy (no corrections)	-526	meV/atom
total magnetic moment	0.00	Bohr magnetons per cell

---

Computed, not measured: BaSrN after structural relaxation at the GGA-PBEsol level of DFT.

Geometry as CIF:
```
data_BaSrN
_cell_length_a 3.8881
_cell_length_b 3.8881
_cell_length_c 21.5923
_cell_angle_alpha 90.00
_cell_angle_beta 90.00
_cell_angle_gamma 120.00
_space_group_name_H-M_alt 'R 3 m'
_space_group_IT_number 160
_space_group_name_Hall 'R 3 -2"'
loop_
_atom_site_label
_atom_site_type_symbol
_atom_site_fract_x
_atom_site_fract_y
_atom_site_fract_z
Ba1 Ba 0.0000 0.0000 0.0000
Sr1 Sr 0.0000 0.0000 0.4661
N1 N 0.0000 0.0000 0.7365
```

Properties
DOS(E_F)	0.41	states/eV per atom
formation energy (no corrections)	-558	meV/atom
total magnetic moment	0.00	Bohr magnetons per cell

---

Computed, not measured: BaTcN2 after structural relaxation at the GGA-PBEsol level of DFT.

Geometry as CIF:
```
data_BaTcN2
_cell_length_a 5.989
_cell_length_b 5.989
_cell_length_c 5.989
_cell_angle_alpha 90.00
_cell_angle_beta 90.00
_cell_angle_gamma 90.00
_space_group_name_H-M_alt 'F m -3 m'
_space_group_IT_number 225
_space_group_name_Hall '-F 4 2 3'
loop_
_atom_site_label
_atom_site_type_symbol
_atom_site_fract_x
_atom_site_fract_y
_atom_site_fract_z
Ba1 Ba 0.000 0.000 0.000
Tc1 Tc 0.000 0.000 0.500
N1 N 0.250 0.250 0.250
```

Properties
DOS(E_F)	0.58	states/eV per atom
formation energy (no corrections)	1087	meV/atom
total magnetic moment	3.81	Bohr magnetons per cell